# MnBeCu2 GGA-PBE optimized geometry
data_MnBeCu2
_chemical_formula_sum 'Mn1 Be1 Cu2'
_cell_length_a 2.8316
_cell_length_b 3.9603
_cell_length_c 4.0481
_cell_angle_alpha 90.00
_cell_angle_beta 90.00
_cell_angle_gamma 90.00
_symmetry_space_group_name_H-M 'P m m m'
_symmetry_Int_Tables_number 47
loop_
_symmetry_equiv_pos_as_xyz
'x,y,z'
'-x,-y,-z'
'-x,-y,z'
'x,y,-z'
'x,-y,-z'
'-x,y,z'
'-x,y,-z'
'x,-y,z'
loop_
_atom_site_label
_atom_site_type_symbol
_atom_site_fract_x
_atom_site_fract_y
_atom_site_fract_z
Mn1 Mn 0.0000 0.0000 0.0000
Be1 Be 0.5000 0.5000 0.0000
Cu1 Cu 0.0000 0.5000 0.5000
Cu2 Cu 0.5000 0.0000 0.5000
# * E_form: 0.52 eV per formula unit
# * calculated total energy: -5.1419 eV per atom
# * ρ: 6.988 Mg/m³
# * crystal system: orthorhombic
# * magnetic moment: 2.80 μB/f.u.